VASP calculation (PBE+U) on an optimized crystal structure of LaCrO3.

The structure in extended XYZ format:
```
10
Lattice="-2.009 2.009 9.834 2.009 -2.009 9.834 2.009 2.009 -9.834" Properties=species:S:1:pos:R:3 pbc="T T T"
La 0.000 0.000 0.000
La 0.000 2.009 4.917
Cr 2.009 0.000 2.666
Cr 2.009 0.000 7.168
O 0.000 0.000 5.987
O 0.000 1.000 2.096
O 0.000 0.000 13.682
O 0.000 3.019 2.096
O -1.009 2.009 7.738
O 1.009 2.009 7.738
```

Computed properties:
symmetry = I-4m2, No. 119
magnetic moment = 4.0 μB/f.u.
density of states at the Fermi level = 0.68 states/eV/f.u.
raw total energy = -0.5122 Ry per atom